1.
# VBi2RuO | the Alexandria database | PBE+U | optimized geometry
# Space-group type: P4/mmm (123)
data_VBi2RuO
_chemical_formula_sum 'V1 Bi2 Ru1 O1'
_space_group_name_H-M_alt 'P 1'
_space_group_IT_number 1
_space_group_name_Hall 'P 1'
_cell_length_a 5.225
_cell_length_b 5.225
_cell_length_c 4.369
_cell_angle_alpha 90.00
_cell_angle_beta 90.00
_cell_angle_gamma 90.00
loop_
_atom_site_label
_atom_site_fract_x
_atom_site_fract_y
_atom_site_fract_z
V1 0.000 0.000 0.000
Bi1 0.000 0.500 0.000
Bi2 0.500 0.000 0.000
Ru1 0.000 0.000 0.500
O1 0.500 0.500 0.500


2.
# V2BiRuO8 | the Alexandria database | PBE+U | optimized geometry
# Space-group type: P-3m1 (164)
data_V2BiRuO8
_chemical_formula_sum 'V2 Bi1 Ru1 O8'
_space_group_name_H-M_alt 'P 1'
_space_group_IT_number 1
_space_group_name_Hall 'P 1'
_cell_length_a 5.657
_cell_length_b 5.657
_cell_length_c 6.367
_cell_angle_alpha 90.00
_cell_angle_beta 90.00
_cell_angle_gamma 120.00
loop_
_atom_site_label
_atom_site_fract_x
_atom_site_fract_y
_atom_site_fract_z
V1 0.333 0.667 0.279
V2 0.667 0.333 0.721
Bi1 0.000 0.000 0.500
Ru1 0.000 0.000 0.000
O1 0.157 0.315 0.203
O2 0.157 0.843 0.203
O3 0.315 0.157 0.797
O4 0.333 0.667 0.539
O5 0.667 0.333 0.461
O6 0.685 0.843 0.203
O7 0.843 0.157 0.797
O8 0.843 0.685 0.797


Number 1: raw total energy -4.5144 eV per atom. Number 2: raw total energy -7.0750 eV per atom.